(1)
{
  "formula": "TiNb2S4",
  "functional": "PBE",
  "state": "relaxed",
  "lattice": [[-1.101, 3.043, -0.595], [-4.205, -2.244, -3.696], [-7.599, -0.946, 9.219]],
  "species": ["Ti", "Ti", "Nb", "Nb", "Nb", "Nb", "S", "S", "S", "S", "S", "S", "S", "S"],
  "fractional_positions": [[0.000, 0.500, 0.000], [0.000, 0.000, 0.500], [0.500, 0.130, 0.161], [0.500, 0.870, 0.839], [0.500, 0.370, 0.661], [0.500, 0.630, 0.339], [0.500, 0.217, 0.961], [0.500, 0.283, 0.461], [0.000, 0.937, 0.297], [0.000, 0.437, 0.203], [0.000, 0.563, 0.797], [0.500, 0.717, 0.539], [0.500, 0.783, 0.039], [0.000, 0.063, 0.703]],
  "total_energy_ev_per_atom": -7.326,
  "de_polymorph_ev_per_fu": 0.00,
  "sg": "Pbam",
  "formation_energy_uncorrected_ev_per_atom": -0.962
}

(2)
{
  "formula": "TiNbS4",
  "functional": "PBE",
  "state": "relaxed",
  "lattice": [[-1.182, 5.521, 0.315], [-6.910, -1.477, -0.045], [3.778, 0.469, 5.949]],
  "species": ["Ti", "Ti", "S", "S", "S", "S", "S", "S", "S", "S", "Nb", "Nb"],
  "fractional_positions": [[0.500, 0.500, 0.000], [0.000, 0.000, 0.000], [0.242, 0.838, 0.669], [0.758, 0.669, 0.838], [0.258, 0.831, 0.162], [0.258, 0.338, 0.669], [0.742, 0.662, 0.331], [0.242, 0.331, 0.162], [0.742, 0.169, 0.838], [0.758, 0.162, 0.331], [0.000, 0.500, 0.500], [0.500, 0.000, 0.500]],
  "total_energy_ev_per_atom": -6.754,
  "de_polymorph_ev_per_fu": 0.77,
  "sg": "P2_1/c",
  "formation_energy_uncorrected_ev_per_atom": -1.008
}

(3)
{
  "formula": "Ti4NbS8",
  "functional": "PBE",
  "state": "relaxed",
  "lattice": [[6.068, 0.000, -3.274], [-3.917, 5.674, 0.000], [-0.151, -0.104, 6.980]],
  "species": ["Ti", "Ti", "Ti", "Ti", "S", "S", "S", "S", "S", "S", "S", "S", "Nb"],
  "fractional_positions": [[0.500, 0.000, 0.000], [0.500, 0.500, 0.000], [0.000, 0.000, 0.000], [0.000, 0.500, 0.000], [0.495, 0.247, 0.253], [0.006, 0.247, 0.253], [0.994, 0.241, 0.747], [0.994, 0.753, 0.747], [0.506, 0.253, 0.760], [0.494, 0.747, 0.240], [0.006, 0.759, 0.253], [0.505, 0.753, 0.747], [0.000, 0.500, 0.500]],
  "total_energy_ev_per_atom": -7.034,
  "sg": "R-3m",
  "formation_energy_uncorrected_ev_per_atom": -1.290
}

(4)
{
  "formula": "TiNb5S6",
  "functional": "PBE",
  "state": "relaxed",
  "lattice": [[6.050, 0.122, 0.000], [1.826, 5.836, 0.000], [0.913, 2.918, 5.605]],
  "species": ["S", "S", "S", "S", "S", "S", "Nb", "Nb", "Nb", "Nb", "Nb", "Ti"],
  "fractional_positions": [[0.720, 0.449, 0.657], [0.280, 0.551, 0.343], [0.201, 0.286, 0.000], [0.799, 0.714, 0.000], [0.720, 0.106, 0.343], [0.280, 0.894, 0.657], [0.000, 0.707, 0.586], [0.000, 0.293, 0.414], [0.500, 0.500, 0.000], [0.500, 0.126, 0.749], [0.500, 0.874, 0.251], [0.000, 0.000, 0.000]],
  "total_energy_ev_per_atom": -7.583,
  "sg": "C2/m",
  "formation_energy_uncorrected_ev_per_atom": -0.665
}

(5)
{
  "formula": "TiNb2S",
  "functional": "PBE",
  "state": "relaxed",
  "lattice": [[-3.655, 0.552, -0.924], [0.353, -2.476, -2.875], [-4.218, -8.141, 3.968]],
  "species": ["Nb", "Nb", "Nb", "Nb", "Ti", "Ti", "S", "S"],
  "fractional_positions": [[0.375, 0.382, 0.750], [0.618, 0.125, 0.250], [0.875, 0.868, 0.750], [0.132, 0.625, 0.250], [0.750, 0.250, 0.500], [0.000, 0.000, 0.000], [0.250, 0.750, 0.500], [0.500, 0.500, 0.000]],
  "total_energy_ev_per_atom": -8.020,
  "sg": "I-42d",
  "formation_energy_uncorrected_ev_per_atom": 0.021
}

(6)
{
  "formula": "Ti3NbS",
  "functional": "PBE",
  "state": "relaxed",
  "lattice": [[-3.609, -0.467, 3.053], [-0.386, -3.156, -4.634], [4.718, -3.302, 5.073]],
  "species": ["Nb", "Nb", "S", "S", "Ti", "Ti", "Ti", "Ti", "Ti", "Ti"],
  "fractional_positions": [[0.618, 0.235, 0.448], [0.382, 0.765, 0.552], [0.134, 0.268, 0.942], [0.866, 0.732, 0.058], [0.139, 0.279, 0.636], [0.391, 0.782, 0.093], [0.119, 0.237, 0.244], [0.861, 0.721, 0.364], [0.609, 0.218, 0.907], [0.881, 0.763, 0.756]],
  "total_energy_ev_per_atom": -8.086,
  "de_polymorph_ev_per_fu": 0.00,
  "sg": "C2/m",
  "formation_energy_uncorrected_ev_per_atom": -0.510
}

(7)
{
  "formula": "TiNbS",
  "functional": "PBE",
  "state": "relaxed",
  "lattice": [[-0.924, -0.393, 3.161], [4.441, -0.358, 1.254], [0.542, 12.920, 1.766]],
  "species": ["S", "S", "S", "S", "Ti", "Ti", "Ti", "Ti", "Nb", "Nb", "Nb", "Nb"],
  "fractional_positions": [[0.250, 0.294, 0.097], [0.250, 0.206, 0.597], [0.750, 0.794, 0.403], [0.750, 0.706, 0.903], [0.250, 0.109, 0.919], [0.750, 0.891, 0.081], [0.750, 0.609, 0.581], [0.250, 0.391, 0.419], [0.750, 0.472, 0.236], [0.250, 0.528, 0.764], [0.250, 0.972, 0.264], [0.750, 0.028, 0.736]],
  "total_energy_ev_per_atom": -8.002,
  "de_polymorph_ev_per_fu": 0.11,
  "sg": "Pnma",
  "formation_energy_uncorrected_ev_per_atom": -0.638
}

(8)
{
  "formula": "TiNb2S6",
  "functional": "PBE",
  "state": "relaxed",
  "lattice": [[6.024, 0.000, 0.000], [0.000, 6.024, 0.000], [0.000, 0.000, 10.119]],
  "species": ["Nb", "Nb", "Nb", "Nb", "S", "S", "S", "S", "S", "S", "S", "S", "S", "S", "S", "S", "Ti", "Ti"],
  "fractional_positions": [[0.500, 0.500, 0.160], [0.000, 0.000, 0.340], [0.000, 0.000, 0.660], [0.500, 0.500, 0.840], [0.299, 0.299, 0.665], [0.209, 0.791, 0.500], [0.291, 0.291, 0.000], [0.799, 0.201, 0.835], [0.709, 0.709, 0.000], [0.701, 0.701, 0.335], [0.791, 0.209, 0.500], [0.201, 0.799, 0.165], [0.799, 0.201, 0.165], [0.201, 0.799, 0.835], [0.701, 0.701, 0.665], [0.299, 0.299, 0.335], [0.500, 0.500, 0.500], [0.000, 0.000, 0.000]],
  "total_energy_ev_per_atom": -6.826,
  "de_polymorph_ev_per_fu": 1.14,
  "sg": "P4_2/mnm",
  "formation_energy_uncorrected_ev_per_atom": -0.960
}

(9)
{
  "formula": "Ti2NbS",
  "functional": "PBE",
  "state": "relaxed",
  "lattice": [[3.159, 0.000, 0.000], [1.579, 2.736, 0.000], [1.579, 0.912, 7.805]],
  "species": ["Nb", "Ti", "Ti", "S"],
  "fractional_positions": [[0.499, 0.499, 0.502], [0.071, 0.071, 0.787], [0.262, 0.262, 0.214], [0.668, 0.668, 0.997]],
  "total_energy_ev_per_atom": -7.986,
  "sg": "R3m",
  "formation_energy_uncorrected_ev_per_atom": -0.490
}

(10)
{
  "formula": "TiNb2S6",
  "functional": "PBE",
  "state": "relaxed",
  "lattice": [[-0.713, 2.909, 1.576], [-0.955, 1.589, -6.997], [-7.095, -3.700, 3.620]],
  "species": ["Ti", "S", "S", "S", "S", "S", "S", "Nb", "Nb"],
  "fractional_positions": [[0.000, 0.000, 0.500], [0.305, 0.609, 0.868], [0.631, 0.263, 0.533], [0.030, 0.061, 0.794], [0.369, 0.737, 0.467], [0.970, 0.939, 0.206], [0.695, 0.391, 0.132], [0.333, 0.665, 0.168], [0.667, 0.335, 0.832]],
  "total_energy_ev_per_atom": -6.953,
  "de_polymorph_ev_per_fu": 0.00,
  "sg": "C2/m",
  "formation_energy_uncorrected_ev_per_atom": -1.087
}

(11)
{
  "formula": "TiNb4S8",
  "functional": "PBE",
  "state": "relaxed",
  "lattice": [[6.697, 0.000, 0.000], [-3.348, 5.800, 0.000], [0.000, 0.000, 12.367]],
  "species": ["S", "S", "S", "S", "S", "S", "S", "S", "S", "S", "S", "S", "S", "S", "S", "S", "Nb", "Nb", "Nb", "Nb", "Nb", "Nb", "Nb", "Nb", "Ti", "Ti"],
  "fractional_positions": [[0.833, 0.666, 0.878], [0.167, 0.334, 0.378], [0.833, 0.167, 0.622], [0.666, 0.833, 0.378], [0.167, 0.833, 0.378], [0.167, 0.833, 0.122], [0.334, 0.167, 0.878], [0.333, 0.667, 0.621], [0.667, 0.333, 0.121], [0.167, 0.334, 0.122], [0.333, 0.667, 0.879], [0.833, 0.167, 0.878], [0.833, 0.666, 0.622], [0.667, 0.333, 0.379], [0.666, 0.833, 0.122], [0.334, 0.167, 0.622], [0.505, 0.495, 0.250], [0.495, 0.990, 0.750], [0.000, 0.000, 0.750], [0.990, 0.495, 0.250], [0.010, 0.505, 0.750], [0.505, 0.010, 0.250], [0.495, 0.505, 0.750], [0.000, 0.000, 0.250], [0.000, 0.000, 0.500], [0.000, 0.000, 0.000]],
  "total_energy_ev_per_atom": -7.477,
  "de_polymorph_ev_per_fu": 0.00,
  "sg": "P6_3/mmc",
  "formation_energy_uncorrected_ev_per_atom": -1.232
}

(12)
{
  "formula": "Ti3NbS",
  "functional": "PBE",
  "state": "relaxed",
  "lattice": [[4.475, 0.000, 0.000], [0.000, 4.475, 0.000], [0.000, 0.000, 4.475]],
  "species": ["Ti", "Ti", "Ti", "S", "Nb"],
  "fractional_positions": [[0.500, 0.000, 0.000], [0.000, 0.500, 0.000], [0.000, 0.000, 0.500], [0.000, 0.000, 0.000], [0.500, 0.500, 0.500]],
  "total_energy_ev_per_atom": -7.864,
  "de_polymorph_ev_per_fu": 1.11,
  "sg": "Pm-3m",
  "formation_energy_uncorrected_ev_per_atom": -0.287
}

(13)
{
  "formula": "TiNbS",
  "functional": "PBE",
  "state": "relaxed",
  "lattice": [[3.336, 0.000, 0.000], [0.000, 4.225, 0.000], [0.000, -2.112, 3.659]],
  "species": ["S", "Nb", "Ti"],
  "fractional_positions": [[0.096, 0.000, 0.000], [0.151, 0.333, 0.667], [0.753, 0.667, 0.333]],
  "total_energy_ev_per_atom": -7.574,
  "de_polymorph_ev_per_fu": 1.39,
  "sg": "P3m1",
  "formation_energy_uncorrected_ev_per_atom": -0.210
}

(14)
{
  "formula": "Ti2NbS",
  "functional": "PBE",
  "state": "relaxed",
  "lattice": [[3.213, 0.000, 0.000], [1.607, 2.783, 0.000], [1.607, 0.928, 7.510]],
  "species": ["Nb", "Ti", "Ti", "S"],
  "fractional_positions": [[0.500, 0.500, 0.500], [0.263, 0.263, 0.211], [0.737, 0.737, 0.789], [0.000, 0.000, 0.000]],
  "total_energy_ev_per_atom": -8.079,
  "sg": "R-3m",
  "formation_energy_uncorrected_ev_per_atom": -0.583
}

(15)
{
  "formula": "TiNbS3",
  "functional": "PBE",
  "state": "relaxed",
  "lattice": [[-2.187, -1.331, 2.097], [4.779, -2.088, 3.658], [0.628, 9.220, 3.897]],
  "species": ["Ti", "Ti", "S", "S", "S", "S", "S", "S", "Nb", "Nb"],
  "fractional_positions": [[0.607, 0.379, 0.214], [0.393, 0.621, 0.786], [0.848, 0.386, 0.696], [0.023, 0.287, 0.045], [0.334, 0.928, 0.669], [0.666, 0.072, 0.331], [0.977, 0.713, 0.955], [0.152, 0.614, 0.304], [0.078, 0.944, 0.156], [0.922, 0.056, 0.844]],
  "total_energy_ev_per_atom": -7.080,
  "de_polymorph_ev_per_fu": 0.00,
  "sg": "C2/m",
  "formation_energy_uncorrected_ev_per_atom": -1.010
}

(16)
{
  "formula": "TiNbS4",
  "functional": "PBE",
  "state": "relaxed",
  "lattice": [[-0.238, -1.082, 3.209], [-5.187, -4.205, -1.803], [4.919, -3.146, -0.697]],
  "species": ["S", "S", "S", "S", "Nb", "Ti"],
  "fractional_positions": [[0.500, 0.279, 0.268], [0.500, 0.721, 0.732], [0.000, 0.727, 0.244], [0.000, 0.273, 0.756], [0.500, 0.500, 0.000], [0.000, 0.500, 0.500]],
  "total_energy_ev_per_atom": -6.878,
  "de_polymorph_ev_per_fu": 0.02,
  "sg": "P2/m",
  "formation_energy_uncorrected_ev_per_atom": -1.133
}

(17)
{
  "formula": "TiNbS3",
  "functional": "PBE",
  "state": "relaxed",
  "lattice": [[-3.644, 2.054, -2.265], [-3.040, -2.059, 3.025], [0.326, 3.764, 2.890]],
  "species": ["Nb", "S", "S", "S", "Ti"],
  "fractional_positions": [[0.000, 0.000, 0.000], [0.000, 0.000, 0.500], [0.500, 0.000, 0.000], [0.000, 0.500, 0.000], [0.500, 0.500, 0.500]],
  "total_energy_ev_per_atom": -6.152,
  "de_polymorph_ev_per_fu": 4.64,
  "sg": "Pm-3m",
  "formation_energy_uncorrected_ev_per_atom": -0.083
}

(18)
{
  "formula": "Ti2NbS",
  "functional": "PBE",
  "state": "relaxed",
  "lattice": [[4.953, 0.000, 0.000], [0.000, 6.201, 0.850], [-2.476, -0.994, 4.264]],
  "species": ["Ti", "Ti", "Ti", "Ti", "Nb", "Nb", "S", "S"],
  "fractional_positions": [[0.198, 0.029, 0.396], [0.802, 0.471, 0.604], [0.802, 0.971, 0.604], [0.198, 0.529, 0.396], [0.500, 0.750, 0.000], [0.500, 0.250, 0.000], [0.000, 0.250, 0.000], [0.000, 0.750, 0.000]],
  "total_energy_ev_per_atom": -8.040,
  "sg": "C2/m",
  "formation_energy_uncorrected_ev_per_atom": -0.544
}

(19)
{
  "formula": "TiNbS4",
  "functional": "PBE",
  "state": "relaxed",
  "lattice": [[-5.256, -0.006, -5.017], [-2.681, -1.581, -6.566], [-3.134, -4.979, -0.144]],
  "species": ["S", "S", "S", "S", "Nb", "Ti"],
  "fractional_positions": [[0.117, 0.117, 0.211], [0.386, 0.386, 0.275], [0.883, 0.883, 0.789], [0.614, 0.614, 0.725], [0.500, 0.500, 0.500], [0.000, 0.000, 0.000]],
  "total_energy_ev_per_atom": -6.882,
  "de_polymorph_ev_per_fu": 0.00,
  "sg": "C2/m",
  "formation_energy_uncorrected_ev_per_atom": -1.136
}

(20)
{
  "formula": "TiNbS3",
  "functional": "PBE",
  "state": "relaxed",
  "lattice": [[-2.378, -2.990, -2.615], [-2.245, -1.502, 3.760], [-3.277, 3.199, -0.679]],
  "species": ["S", "S", "S", "Nb", "Ti"],
  "fractional_positions": [[0.000, 0.500, 0.000], [0.500, 0.000, 0.000], [0.000, 0.000, 0.500], [0.500, 0.500, 0.500], [0.000, 0.000, 0.000]],
  "total_energy_ev_per_atom": -6.207,
  "de_polymorph_ev_per_fu": 4.36,
  "sg": "Pm-3m",
  "formation_energy_uncorrected_ev_per_atom": -0.138
}

(21)
{
  "formula": "Ti2Nb3S2",
  "functional": "PBE",
  "state": "relaxed",
  "lattice": [[-2.505, 2.207, 0.192], [1.380, -1.398, 4.949], [4.333, 5.133, -2.493]],
  "species": ["S", "S", "Nb", "Nb", "Nb", "Ti", "Ti"],
  "fractional_positions": [[0.820, 0.641, 0.787], [0.180, 0.359, 0.213], [0.500, 0.000, 0.000], [0.382, 0.764, 0.564], [0.618, 0.236, 0.436], [0.846, 0.693, 0.177], [0.154, 0.307, 0.823]],
  "total_energy_ev_per_atom": -8.372,
  "sg": "C2/m",
  "formation_energy_uncorrected_ev_per_atom": -0.621
}

(22)
{
  "formula": "TiNb2S4",
  "functional": "PBE",
  "state": "relaxed",
  "lattice": [[-0.739, -3.738, -2.737], [-0.002, -2.771, 3.786], [-6.442, -2.471, 1.094]],
  "species": ["S", "S", "S", "S", "Nb", "Nb", "Ti"],
  "fractional_positions": [[0.196, 0.196, 0.608], [0.000, 0.500, 0.000], [0.500, 0.000, 0.000], [0.804, 0.804, 0.392], [0.609, 0.609, 0.782], [0.391, 0.391, 0.218], [0.000, 0.000, 0.000]],
  "total_energy_ev_per_atom": -6.674,
  "de_polymorph_ev_per_fu": 4.56,
  "sg": "I4/mmm",
  "formation_energy_uncorrected_ev_per_atom": -0.311
}

(23)
{
  "formula": "YTiNbS2",
  "functional": "PBE",
  "state": "relaxed",
  "lattice": [[5.017, 0.000, 0.000], [0.000, 5.308, 0.000], [0.000, 0.000, 5.017]],
  "species": ["Ti", "S", "S", "Y", "Nb"],
  "fractional_positions": [[0.500, 0.500, 0.500], [0.000, 0.000, 0.500], [0.500, 0.000, 0.000], [0.000, 0.000, 0.000], [0.000, 0.500, 0.000]],
  "total_energy_ev_per_atom": -5.639,
  "sg": "P4/mmm",
  "formation_energy_uncorrected_ev_per_atom": 0.898
}